1.
This record from the Alexandria database describes a relaxed structure of MgSiS3. The functional is PBE-GGA.

Summary:
Volume in A^3/atom: 21.51
Energy relative to the lowest polymorph listed for this composition in meV/atom: 1329
Spin magnetization in μB per formula unit: 0.0
Raw formation energy in eV per atom: 0.424
DFT total energy in eV per atom: -3.46

The structure in extended XYZ format:
```
5
Lattice="4.756 0.000 0.000 0.000 4.756 0.000 0.000 0.000 4.756" Properties=species:S:1:pos:R:3 pbc="T T T"
Mg 0.000 0.000 0.000
Si 2.378 2.378 2.378
S 0.000 2.378 0.000
S 0.000 0.000 2.378
S 2.378 0.000 0.000
```

***

2.
This record from the Alexandria database describes a relaxed structure of MgSi3S. The functional is PBE-GGA.

Summary:
Volume in A^3/atom: 23.49
Energy relative to the lowest polymorph listed for this composition in meV/atom: 580
Spin magnetization in μB per formula unit: 0.0
Raw formation energy in eV per atom: 1.273
DFT total energy in eV per atom: -3.12

The structure in extended XYZ format:
```
5
Lattice="-3.922 -0.298 -2.918 -2.652 -1.721 3.740 -1.253 4.575 1.217" Properties=species:S:1:pos:R:3 pbc="T T T"
Mg 0.000 0.000 0.000
S -3.913 1.278 1.020
Si -1.326 -0.861 1.870
Si -0.627 2.288 0.608
Si -1.961 -0.149 -1.459
```

***

3.
This record from the Alexandria database describes a relaxed structure of MgSiS2. The functional is PBE-GGA.

Summary:
Volume in A^3/atom: 24.47
Spin magnetization in μB per formula unit: 0.0
Raw formation energy in eV per atom: -0.426
DFT total energy in eV per atom: -4.24

The structure in extended XYZ format:
```
8
Lattice="5.634 0.000 0.000 0.000 5.634 0.000 2.817 2.817 6.166" Properties=species:S:1:pos:R:3 pbc="T T T"
Mg 2.817 2.817 0.000
Mg 2.817 5.634 3.083
S 4.182 1.409 1.542
S 1.452 4.226 1.542
S 4.226 4.269 4.625
S 7.043 6.999 4.625
Si 0.000 0.000 0.000
Si 5.634 2.817 3.083
```

***

4.
This record from the Alexandria database describes a relaxed structure of MgSiS2. The functional is PBE-GGA.

Summary:
Volume in A^3/atom: 20.74
Spin magnetization in μB per formula unit: 0.0
Raw formation energy in eV per atom: -0.331
DFT total energy in eV per atom: -4.15

The structure in extended XYZ format:
```
4
Lattice="2.121 0.000 7.096 -1.061 1.837 7.096 -1.061 -1.837 7.096" Properties=species:S:1:pos:R:3 pbc="T T T"
Mg 0.000 0.000 10.645
S 0.000 0.000 19.123
S 0.000 0.000 2.166
Si 0.000 0.000 0.000
```

***

5.
This record from the Alexandria database describes a relaxed structure of MgSi2S4. The functional is PBE-GGA.

Summary:
Volume in A^3/atom: 21.45
Spin magnetization in μB per formula unit: 0.0
Raw formation energy in eV per atom: -0.375
DFT total energy in eV per atom: -4.51

The structure in extended XYZ format:
```
7
Lattice="-2.624 2.826 -4.362 -2.850 -0.208 5.073 4.935 2.905 1.052" Properties=species:S:1:pos:R:3 pbc="T T T"
Mg -2.737 1.309 0.355
Si -0.326 2.003 3.240
Si -0.213 3.520 -1.477
S 1.138 2.383 -0.007
S -2.344 2.700 -1.739
S 1.804 2.823 3.502
S -1.678 3.140 1.770
```

***

6.
This record from the Alexandria database describes a relaxed structure of MgSiS2. The functional is PBE-GGA.

Summary:
Volume in A^3/atom: 19.85
Spin magnetization in μB per formula unit: 0.0
Raw formation energy in eV per atom: -0.374
DFT total energy in eV per atom: -4.19

The structure in extended XYZ format:
```
4
Lattice="-0.349 -8.486 -0.386 2.935 -7.964 -0.490 1.353 -8.032 2.436" Properties=species:S:1:pos:R:3 pbc="T T T"
Mg 0.000 0.000 0.000
S 3.493 -21.704 1.383
S 0.447 -2.779 0.177
Si 1.970 -12.241 0.780
```